Density functional theory data (PBE-GGA) for crystalline Pr2Er3Sn2 at its relaxed geometry.

Properties
- energy relative to the elements (eV/atom) = -0.462
- total DFT energy (no corrections) (eV per atom) = -4.927
- space-group type = C2/m (12)
- magnetic moment (μB per atom) = 0.122
- density (g/cm3) = 7.7
- N(E_F) (states/eV per atom) = 1.23

Cell lengths 4.475, 6.505, 8.602 Å; angles 109.84, 90.00, 110.12 degrees
Fractional coordinates of all 7 atoms:
1 Er 0.500 0.000 0.000
2 Er 0.376 0.752 0.558
3 Er 0.624 0.248 0.442
4 Sn 0.834 0.668 0.792
5 Sn 0.166 0.332 0.208
6 Pr 0.138 0.276 0.795
7 Pr 0.862 0.724 0.205

---

Density functional theory data (PBE-GGA) for crystalline Pr3ErSn2 at its relaxed geometry.

Properties
- energy relative to the elements (eV/atom) = -0.529
- total DFT energy (no corrections) (eV per atom) = -5.014
- space-group type = Cmmm (65)
- offset from the most stable computed form (meV per atom) = 40
- magnetic moment (μB per atom) = 0.000
- density (g/cm3) = 7.5
- N(E_F) (states/eV per atom) = 1.12

Cell lengths 4.983, 8.977, 9.626 Å; angles 117.79, 105.00, 90.00 degrees
Fractional coordinates of all 12 atoms:
1 Sn 0.353 0.353 0.706
2 Sn 0.353 0.853 0.706
3 Sn 0.647 0.647 0.294
4 Sn 0.647 0.147 0.294
5 Pr 0.178 0.428 0.356
6 Pr 0.822 0.072 0.644
7 Pr 0.822 0.572 0.644
8 Pr 0.178 0.928 0.356
9 Pr 0.500 0.250 0.000
10 Pr 0.500 0.750 0.000
11 Er 0.000 0.500 0.000
12 Er 0.000 0.000 0.000

---

Density functional theory data (PBE-GGA) for crystalline PrEr3Sn3 at its relaxed geometry.

Properties
- energy relative to the elements (eV/atom) = -0.544
- total DFT energy (no corrections) (eV per atom) = -4.897
- space-group type = P6_3/m (176)
- magnetic moment (μB per atom) = 0.000
- density (g/cm3) = 8.4
- N(E_F) (states/eV per atom) = 1.06

Cell lengths 5.384, 9.197, 9.197 Å; angles 120.00, 90.00, 90.00 degrees
Fractional coordinates of all 14 atoms:
1 Er 0.750 0.003 0.766
2 Er 0.250 0.766 0.763
3 Er 0.250 0.997 0.234
4 Er 0.750 0.234 0.237
5 Er 0.750 0.763 0.997
6 Er 0.250 0.237 0.003
7 Sn 0.250 0.553 0.927
8 Sn 0.750 0.927 0.374
9 Sn 0.750 0.447 0.073
10 Sn 0.750 0.626 0.553
11 Sn 0.250 0.374 0.447
12 Sn 0.250 0.073 0.626
13 Pr 0.750 0.333 0.667
14 Pr 0.250 0.667 0.333

---

Density functional theory data (PBE-GGA) for crystalline Pr5ErSn5 at its relaxed geometry.

Properties
- energy relative to the elements (eV/atom) = -0.488
- total DFT energy (no corrections) (eV per atom) = -4.895
- space-group type = C2/m (12)
- magnetic moment (μB per atom) = 0.000
- density (g/cm3) = 6.7
- N(E_F) (states/eV per atom) = 0.69

Cell lengths 6.199, 8.867, 7.350 Å; angles 104.84, 90.00, 110.46 degrees
Fractional coordinates of all 11 atoms:
1 Er 0.000 0.000 0.000
2 Pr 0.345 0.690 0.218
3 Pr 0.655 0.310 0.782
4 Pr 0.000 0.000 0.500
5 Pr 0.680 0.360 0.289
6 Pr 0.320 0.640 0.711
7 Sn 0.836 0.671 0.099
8 Sn 0.164 0.329 0.901
9 Sn 0.500 0.000 0.000
10 Sn 0.838 0.676 0.646
11 Sn 0.162 0.324 0.354

---

Density functional theory data (PBE-GGA) for crystalline PrErSn at its relaxed geometry.

Properties
- energy relative to the elements (eV/atom) = -0.618
- total DFT energy (no corrections) (eV per atom) = -5.066
- space-group type = I4/mmm (139)
- offset from the most stable computed form (meV per atom) = 0
- magnetic moment (μB per atom) = 0.155
- density (g/cm3) = 7.7
- N(E_F) (states/eV per atom) = 1.11

Cell lengths 4.652, 4.652, 9.151 Å; angles 104.73, 104.73, 89.99 degrees
Fractional coordinates of all 6 atoms:
1 Pr 0.676 0.676 0.352
2 Pr 0.324 0.324 0.648
3 Er 0.500 0.000 0.000
4 Er 0.000 0.500 0.000
5 Sn 0.869 0.869 0.738
6 Sn 0.131 0.131 0.262

---

Density functional theory data (PBE-GGA) for crystalline PrErSn at its relaxed geometry.

Properties
- energy relative to the elements (eV/atom) = -0.381
- total DFT energy (no corrections) (eV per atom) = -4.830
- space-group type = P3m1 (156)
- offset from the most stable computed form (meV per atom) = 236
- magnetic moment (μB per atom) = 0.000
- density (g/cm3) = 7.6
- N(E_F) (states/eV per atom) = 0.71

Cell lengths 4.132, 5.117, 5.117 Å; angles 120.00, 90.00, 90.00 degrees
Fractional coordinates of all 3 atoms:
1 Sn 0.121 0.000 0.000
2 Er 0.200 0.667 0.333
3 Pr 0.678 0.333 0.667

---

Density functional theory data (PBE-GGA) for crystalline PrEr2Sn at its relaxed geometry.

Properties
- energy relative to the elements (eV/atom) = -0.235
- total DFT energy (no corrections) (eV per atom) = -4.712
- space-group type = R3m (160)
- offset from the most stable computed form (meV per atom) = 189
- magnetic moment (μB per atom) = 0.000
- density (g/cm3) = 8.6
- N(E_F) (states/eV per atom) = 1.67

Cell lengths 5.460, 5.460, 5.465 Å; angles 60.03, 60.03, 60.00 degrees
Fractional coordinates of all 4 atoms:
1 Er 0.250 0.250 0.249
2 Er 0.000 0.000 0.999
3 Pr 0.500 0.500 0.501
4 Sn 0.750 0.750 0.751

---

Density functional theory data (PBE-GGA) for crystalline Pr5ErSn6 at its relaxed geometry.

Properties
- energy relative to the elements (eV/atom) = -0.586
- total DFT energy (no corrections) (eV per atom) = -4.959
- space-group type = C2/m (12)
- magnetic moment (μB per atom) = 0.000
- density (g/cm3) = 6.9
- N(E_F) (states/eV per atom) = 0.63

Cell lengths 8.314, 8.289, 7.014 Å; angles 53.78, 83.58, 79.10 degrees
Fractional coordinates of all 12 atoms:
1 Sn 0.246 0.245 0.000
2 Sn 0.246 0.598 0.312
3 Sn 0.246 0.910 0.688
4 Sn 0.754 0.402 0.688
5 Sn 0.754 0.090 0.312
6 Sn 0.754 0.755 0.000
7 Er 0.000 0.000 0.000
8 Pr 0.000 0.330 0.340
9 Pr 0.500 0.830 0.341
10 Pr 0.500 0.170 0.659
11 Pr 0.000 0.670 0.660
12 Pr 0.500 0.500 0.000